[1]
# LaMgTe2 | the Alexandria database | PBE | optimized geometry
# density of states at the Fermi level	1.5	states/eV/f.u.
# formation energy (no corrections)	-1191	meV/atom
data_LaMgTe2
_space_group_name_H-M_alt 'A m m 2'
_space_group_IT_number 38
_space_group_name_Hall 'A 2 -2'
_cell_length_a 4.599
_cell_length_b 4.265
_cell_length_c 12.484
_cell_angle_alpha 90.00
_cell_angle_beta 90.00
_cell_angle_gamma 90.00
loop_
_atom_site_label
_atom_site_type_symbol
_atom_site_fract_x
_atom_site_fract_y
_atom_site_fract_z
La1 La 0.000 0.000 0.000
Mg1 Mg 0.500 0.000 0.781
Te1 Te 0.000 0.000 0.293
Te2 Te 0.500 0.000 0.556

[2]
# PmGa3Cu2 | the Alexandria database | PBE | optimized geometry
# density of states at the Fermi level	3.1	states/eV/f.u.
# energy relative to the lowest polymorph listed for this composition	60	meV per atom
# energy of formation	-0.352	eV/atom
data_PmGa3Cu2
_space_group_name_H-M_alt 'P 63/m m c'
_space_group_IT_number 194
_space_group_name_Hall '-P 6c 2c'
_cell_length_a 4.2129
_cell_length_b 4.2129
_cell_length_c 13.7842
_cell_angle_alpha 90.00
_cell_angle_beta 90.00
_cell_angle_gamma 120.00
loop_
_atom_site_label
_atom_site_type_symbol
_atom_site_fract_x
_atom_site_fract_y
_atom_site_fract_z
Pm1 Pm 0.0000 0.0000 0.2500
Ga1 Ga 0.0000 0.0000 0.0000
Ga2 Ga 0.3333 0.6667 0.1165
Cu1 Cu 0.3333 0.6667 0.5833

[3]
# Li3Tc | the Alexandria database | PBE | optimized geometry
# density of states at the Fermi level	2.4	states/eV/f.u.
# energy relative to the lowest polymorph listed for this composition	132	meV per atom
# energy of formation	0.290	eV/atom
data_Li3Tc
_space_group_name_H-M_alt 'P m m 2'
_space_group_IT_number 25
_space_group_name_Hall 'P 2 -2'
_cell_length_a 2.427
_cell_length_b 4.702
_cell_length_c 5.132
_cell_angle_alpha 90.00
_cell_angle_beta 90.00
_cell_angle_gamma 90.00
loop_
_atom_site_label
_atom_site_type_symbol
_atom_site_fract_x
_atom_site_fract_y
_atom_site_fract_z
Li1 Li 0.000 0.000 0.000
Li2 Li 0.000 0.500 0.304
Li3 Li 0.500 0.000 0.541
Tc1 Tc 0.500 0.500 0.808

[4]
# NaTlTc2O6 | the Alexandria database | PBE | optimized geometry
# density of states at the Fermi level	1.7	states/eV/f.u.
# formation energy (no corrections)	-1260	meV/atom
data_NaTlTc2O6
_space_group_name_H-M_alt 'C 1 2/c 1'
_space_group_IT_number 15
_space_group_name_Hall '-C 2yc'
_cell_length_a 11.322
_cell_length_b 9.879
_cell_length_c 6.616
_cell_angle_alpha 90.00
_cell_angle_beta 104.41
_cell_angle_gamma 90.00
loop_
_atom_site_label
_atom_site_type_symbol
_atom_site_fract_x
_atom_site_fract_y
_atom_site_fract_z
Na1 Na 0.000 0.069 0.250
Tl1 Tl 0.000 0.340 0.750
Tc1 Tc 0.225 0.341 0.369
O1 O 0.128 0.099 0.637
O2 O 0.138 0.247 0.156
O3 O 0.139 0.452 0.485

[5]
# HfScTi2C | the Alexandria database | PBE | optimized geometry
# density of states at the Fermi level	7.3	states/eV/f.u.
# energy relative to the lowest polymorph listed for this composition	0	meV per atom
# energy of formation	-0.230	eV/atom
data_HfScTi2C
_space_group_name_H-M_alt 'P 4/m m m'
_space_group_IT_number 123
_space_group_name_Hall '-P 4 2'
_cell_length_a 4.303
_cell_length_b 4.303
_cell_length_c 4.604
_cell_angle_alpha 90.00
_cell_angle_beta 90.00
_cell_angle_gamma 90.00
loop_
_atom_site_label
_atom_site_type_symbol
_atom_site_fract_x
_atom_site_fract_y
_atom_site_fract_z
Hf1 Hf 0.000 0.000 0.000
Sc1 Sc 0.500 0.500 0.000
Ti1 Ti 0.000 0.500 0.500
C1 C 0.000 0.000 0.500

[6]
# CaFeIr2 | the Alexandria database | PBE | optimized geometry
# density of states at the Fermi level	3.1	states/eV/f.u.
# energy relative to the lowest polymorph listed for this composition	96	meV per atom
# energy of formation	0.091	eV/atom
data_CaFeIr2
_space_group_name_H-M_alt 'P 1 2/m 1'
_space_group_IT_number 10
_space_group_name_Hall '-P 2y'
_cell_length_a 2.824
_cell_length_b 4.312
_cell_length_c 5.616
_cell_angle_alpha 90.00
_cell_angle_beta 103.34
_cell_angle_gamma 90.00
loop_
_atom_site_label
_atom_site_type_symbol
_atom_site_fract_x
_atom_site_fract_y
_atom_site_fract_z
Ca1 Ca 0.000 0.000 0.000
Fe1 Fe 0.500 0.000 0.500
Ir1 Ir 0.336 0.500 0.708

Which formula does entry 2 have? PmGa3Cu2

Number 1 is which compound? LaMgTe2

Which formula does entry 2 have? PmGa3Cu2

Which of these has the lowest density of states at the Fermi level? LaMgTe2